(1)
Li6P7, relaxed, DFT PBE-GGA; volume = 205 Å³/cell; space group = R-3m, No. 166; spin magnetization = 0.00 μB/f.u.; ΔE_f = -238 kJ/mol of formula units
1.0
-4.344 -0.786 -7.704
-3.281 -5.705 -5.961
-7.384 -2.986 -3.925
P Li
7 6
Cartesian
-8.382 -4.330 -11.108
-9.876 -5.412 -9.250
-7.860 -6.748 -10.251
-6.627 -5.146 -6.482
-7.149 -2.728 -7.339
-5.133 -4.065 -8.340
-7.504 -4.738 -8.795
-14.105 -8.906 -16.530
-0.904 -0.571 -1.060
-12.530 -7.912 -14.685
-2.478 -1.565 -2.905
-10.001 -6.315 -11.721
-5.007 -3.162 -5.869

---

(2)
Li2P, relaxed, DFT PBE-GGA; volume = 91 Å³/cell; space group = C2/m, No. 12; spin magnetization = 0.00 μB/f.u.; ΔE_f = -140 kJ/mol of formula units
1.0
-3.988 -3.500 1.493
-0.350 -5.220 1.735
-0.202 0.217 4.582
Li P
4 2
Cartesian
-1.195 -2.255 1.927
-4.186 -8.232 4.399
-0.355 -0.271 3.411
-3.346 -6.247 5.883
-2.713 -5.241 3.521
-1.828 -3.261 4.289

---

(3)
LiP5, relaxed, DFT PBE-GGA; volume = 469 Å³/cell; space group = Pna2_1, No. 33; spin magnetization = 0.00 μB/f.u.; ΔE_f = -62 kJ/mol of formula units
1.0
-5.227 -3.100 0.545
2.582 -3.120 7.017
-3.848 7.307 4.665
Li P
4 20
Cartesian
-2.036 1.952 7.509
0.508 -2.451 6.862
-6.824 3.642 5.345
-4.280 -0.761 4.699
-2.861 4.452 7.783
0.313 -0.713 8.848
-0.441 -1.843 4.544
-0.172 -0.296 1.294
-2.383 1.177 3.731
-1.557 2.706 5.091
-4.302 4.825 6.075
-1.363 0.600 9.599
-4.498 1.900 8.625
-2.082 -2.348 7.628
-5.706 2.451 3.263
-2.532 -2.714 4.328
-2.620 -3.994 6.196
-6.385 2.731 7.717
-4.415 2.512 10.733
-4.540 -0.346 8.540
-5.463 0.289 2.662
-3.030 -0.490 6.937
-2.836 4.367 4.434
-0.421 0.120 3.437

---

(4)
LiP, relaxed, DFT PBE-GGA; volume = 262 Å³/cell; space group = P2_12_12_1, No. 19; spin magnetization = 0.00 μB/f.u.; ΔE_f = -95 kJ/mol of formula units
1.0
5.477 0.000 0.000
0.000 5.156 0.000
0.000 0.000 9.271
Li P
8 8
Cartesian
1.923 1.501 0.617
4.661 1.077 8.654
3.554 4.079 4.018
0.816 3.655 5.253
1.107 4.534 7.872
3.846 3.200 1.400
4.370 1.956 6.035
1.631 0.622 3.236
3.155 3.039 8.148
0.417 4.695 1.123
2.322 0.461 5.759
5.060 2.117 3.513
1.471 1.925 7.251
4.210 0.653 2.020
4.006 4.503 6.656
1.267 3.231 2.615

---

(5)
LiP, relaxed, DFT PBE-GGA; volume = 64 Å³/cell; space group = P2_1/m, No. 11; spin magnetization = 0.00 μB/f.u.; ΔE_f = -91 kJ/mol of formula units
1.0
-3.580 1.553 1.913
0.927 -1.334 2.818
3.970 3.037 0.131
Li P
2 2
Cartesian
2.048 2.325 1.365
-0.731 0.931 3.497
0.346 0.369 0.999
0.971 2.888 3.862

---

(6)
LiP, relaxed, DFT PBE-GGA; volume = 198 Å³/cell; space group = Imm2, No. 44; spin magnetization = 0.00 μB/f.u.; ΔE_f = -74 kJ/mol of formula units
1.0
-12.962 1.045 0.092
-0.194 -2.190 -2.384
-0.255 -3.444 3.185
Li P
6 6
Cartesian
-3.845 -0.859 1.101
-9.290 -0.420 1.140
-10.550 -3.154 1.548
-3.033 -3.760 1.494
-0.017 -0.228 0.211
-6.722 -2.523 0.657
-4.937 -2.491 2.689
-8.451 -2.208 2.714
-11.387 -1.341 -0.049
-1.939 -2.103 -0.117
-0.248 -3.140 0.699
-6.505 0.200 0.345

---

(7)
LiPaP2, relaxed, DFT PBE-GGA; volume = 71 Å³/cell; space group = P4/mmm, No. 123; spin magnetization = 0.00 μB/f.u.; ΔE_f = -319 kJ/mol of formula units
1.0
3.536 0.000 0.000
0.000 4.471 0.000
0.000 0.000 4.471
P Pa Li
2 1 1
Cartesian
0.000 0.000 2.235
0.000 2.235 0.000
1.768 2.235 2.235
1.768 0.000 0.000

---

(8)
LiPaP2, relaxed, DFT PBE-GGA; volume = 71 Å³/cell; space group = R-3m, No. 166; spin magnetization = 0.00 μB/f.u.; ΔE_f = -337 kJ/mol of formula units
1.0
4.372 0.000 0.000
2.186 3.786 0.000
2.186 1.262 4.269
P Pa Li
2 1 1
Cartesian
6.558 3.786 3.376
2.186 1.262 0.894
4.372 2.524 2.135
0.000 0.000 0.000

---

(9)
LiPa2P, relaxed, DFT PBE-GGA; volume = 103 Å³/cell; space group = R-3m, No. 166; spin magnetization = 0.00 μB/f.u.; ΔE_f = -35 kJ/mol of formula units
1.0
3.381 0.000 0.000
1.690 2.928 0.000
1.690 0.976 10.422
P Pa Li
1 2 1
Cartesian
3.381 1.952 5.211
1.690 0.976 7.099
5.071 2.928 3.323
0.000 0.000 0.000

---

(10)
LiPaP, relaxed, DFT PBE-GGA; volume = 113 Å³/cell; space group = R-3m, No. 166; spin magnetization = 0.00 μB/f.u.; ΔE_f = -191 kJ/mol of formula units
1.0
3.849 0.000 0.000
1.925 3.334 0.000
1.925 1.111 8.793
P Li Pa
2 2 2
Cartesian
3.849 2.222 1.833
3.849 2.222 6.960
1.925 1.111 0.805
5.774 3.334 7.988
5.774 3.334 3.517
1.925 1.111 5.276

---

(11)
LiPaP2, relaxed, DFT PBE-GGA; volume = 87 Å³/cell; space group = R3m, No. 160; spin magnetization = 0.00 μB/f.u.; ΔE_f = -320 kJ/mol of formula units
1.0
4.026 0.000 0.000
2.013 3.487 0.000
2.013 1.162 6.199
Li Pa P
1 1 2
Cartesian
4.026 2.325 3.297
6.039 3.487 6.134
2.013 1.162 4.652
2.013 1.162 1.414

---

(12)
LiPaP, relaxed, DFT PBE-GGA; volume = 64 Å³/cell; space group = F-43m, No. 216; spin magnetization = 1.35 μB/f.u.; ΔE_f = -107 kJ/mol of formula units
1.0
-2.164 -2.258 3.214
1.942 -3.542 1.948
1.395 0.265 4.254
P Pa Li
1 1 1
Cartesian
0.293 -1.383 2.354
0.586 -2.767 4.708
0.000 0.000 0.000